# 1
4
Lattice="3.0658 0.0000 0.0000 0.0000 3.0658 0.0000 0.0000 0.0000 6.8710" Properties=species:S:1:pos:R:3 comment="PBE Re2TcSb, optimized geometry" dft_energy_ry_per_atom=-0.6930 n_ef_per_ev_cell=2.1 magnetic_moment_mub_per_cell=0.000 raw_formation_energy_mev_per_atom=417.5 pbc="T T T"
Re 0.0000 0.0000 1.6413
Re 0.0000 0.0000 5.2297
Tc 1.5329 1.5329 0.0000
Sb 1.5329 1.5329 3.4355

# 2
4
Lattice="3.1262 0.0000 0.0000 0.0000 4.4847 0.0000 0.0000 0.0000 4.6058" Properties=species:S:1:pos:R:3 comment="PBE Re2TcSb, optimized geometry" dft_energy_ry_per_atom=-0.6890 n_ef_per_ev_cell=3.5 magnetic_moment_mub_per_cell=0.000 raw_formation_energy_mev_per_atom=472.3 pbc="T T T"
Re 0.0000 0.0000 0.0000
Re 1.5631 2.2424 0.0000
Tc 0.0000 2.2424 2.3029
Sb 1.5631 0.0000 2.3029

# 3
4
Lattice="4.7837 -1.4883 0.0000 4.7837 1.4883 0.0000 -0.7303 0.0000 4.5731" Properties=species:S:1:pos:R:3 comment="PBE Re2TcSb, optimized geometry" dft_energy_ry_per_atom=-0.6954 n_ef_per_ev_cell=3.4 magnetic_moment_mub_per_cell=0.000 raw_formation_energy_mev_per_atom=385.4 pbc="T T T"
Re 2.1117 0.0000 1.0440
Re 6.7254 0.0000 3.5291
Tc 4.7837 0.0000 0.0000
Sb -0.3651 0.0000 2.2865

# 4
4
Lattice="4.6425 -1.5413 0.0000 4.6425 1.5413 0.0000 -1.3489 0.0000 4.5715" Properties=species:S:1:pos:R:3 comment="PBE Re2TcSb, optimized geometry" dft_energy_ry_per_atom=-0.6955 n_ef_per_ev_cell=3.5 magnetic_moment_mub_per_cell=0.000 raw_formation_energy_mev_per_atom=383.7 pbc="T T T"
Re 0.0000 0.0000 0.0000
Re 6.6546 0.0000 0.5518
Tc 1.3194 0.0000 2.9020
Sb 3.8791 0.0000 2.1837

# 5
4
Lattice="-1.9884 1.9884 4.0569 1.9884 -1.9884 4.0569 1.9884 1.9884 -4.0569" Properties=species:S:1:pos:R:3 comment="PBE Re2TcSb, optimized geometry" dft_energy_ry_per_atom=-0.6871 n_ef_per_ev_cell=6.1 magnetic_moment_mub_per_cell=0.000 raw_formation_energy_mev_per_atom=498.3 pbc="T T T"
Re 0.0000 0.0000 0.0000
Re 0.0000 1.9884 2.0285
Tc 0.0000 0.0000 4.0569
Sb 1.9884 0.0000 2.0285

# 6
5
Lattice="5.1550 0.0000 0.0000 0.0000 5.1550 0.0000 0.0000 0.0000 5.1550" Properties=species:S:1:pos:R:3 comment="PBE ReTcSb3, optimized geometry" dft_energy_ry_per_atom=-0.4169 n_ef_per_ev_cell=8.1 magnetic_moment_mub_per_cell=2.387 polymorph_energy_kj_per_mol_fu=0 raw_formation_energy_mev_per_atom=1364.2 pbc="T T T"
Re 0.0000 0.0000 0.0000
Tc 2.5775 2.5775 2.5775
Sb 0.0000 0.0000 2.5775
Sb 0.0000 2.5775 0.0000
Sb 2.5775 0.0000 0.0000

# 7
4
Lattice="1.4904 -2.3886 0.0000 1.4904 2.3886 0.0000 0.0000 0.0000 9.6417" Properties=species:S:1:pos:R:3 comment="PBE Re2TcSb, optimized geometry" dft_energy_ry_per_atom=-0.6670 n_ef_per_ev_cell=3.7 magnetic_moment_mub_per_cell=0.000 raw_formation_energy_mev_per_atom=771.0 pbc="T T T"
Re 0.0000 0.0000 2.1620
Re 0.0000 0.0000 7.4796
Tc 1.4904 0.0000 0.0000
Sb 1.4904 0.0000 4.8208

# 8
4
Lattice="1.4645 0.8455 8.8235 -1.4645 0.8455 8.8235 0.0000 -1.6910 8.8235" Properties=species:S:1:pos:R:3 comment="PBE Re2TcSb, optimized geometry" dft_energy_ry_per_atom=-0.6896 n_ef_per_ev_cell=4.0 magnetic_moment_mub_per_cell=0.000 raw_formation_energy_mev_per_atom=463.6 pbc="T T T"
Re 0.0000 0.0000 6.5170
Re 0.0000 0.0000 19.9535
Tc 0.0000 0.0000 13.2353
Sb 0.0000 0.0000 0.0000

# 9
5
Lattice="5.2856 0.0000 0.0000 0.0000 5.2856 0.0000 0.0000 0.0000 5.1109" Properties=species:S:1:pos:R:3 comment="PBE ReTcSbTe2, optimized geometry" dft_energy_ry_per_atom=-0.3846 n_ef_per_ev_cell=7.0 magnetic_moment_mub_per_cell=2.921 polymorph_energy_kj_per_mol_fu=0 raw_formation_energy_mev_per_atom=1411.3 pbc="T T T"
Re 0.0000 0.0000 0.0000
Tc 2.6428 2.6428 2.5554
Sb 0.0000 0.0000 2.5554
Te 0.0000 2.6428 0.0000
Te 2.6428 0.0000 0.0000

# 10
5
Lattice="5.0679 0.0000 0.0000 0.0000 5.0679 0.0000 0.0000 0.0000 5.5312" Properties=species:S:1:pos:R:3 comment="PBE ReTcSb2Te, optimized geometry" dft_energy_ry_per_atom=-0.4006 n_ef_per_ev_cell=5.3 magnetic_moment_mub_per_cell=3.269 polymorph_energy_kj_per_mol_fu=0 raw_formation_energy_mev_per_atom=1390.3 pbc="T T T"
Re 0.0000 0.0000 0.0000
Tc 2.5339 2.5339 2.7656
Sb 0.0000 2.5339 0.0000
Sb 2.5339 0.0000 0.0000
Te 0.0000 0.0000 2.7656

# 11
4
Lattice="3.3629 0.0000 0.0000 0.0000 5.1534 0.0000 0.0000 0.0000 5.2093" Properties=species:S:1:pos:R:3 comment="PBE ReSbTe2, optimized geometry" dft_energy_ry_per_atom=-0.3459 n_ef_per_ev_cell=4.0 magnetic_moment_mub_per_cell=0.968 raw_formation_energy_mev_per_atom=1007.2 pbc="T T T"
Re 0.0000 0.0000 0.0000
Sb 1.6815 0.0000 2.6046
Te 0.0000 2.5767 2.6046
Te 1.6815 2.5767 0.0000

# 12
4
Lattice="3.1844 0.0000 0.0000 0.0000 3.1844 0.0000 0.0000 0.0000 10.6137" Properties=species:S:1:pos:R:3 comment="PBE ReSbTe2, optimized geometry" dft_energy_ry_per_atom=-0.4022 n_ef_per_ev_cell=1.4 magnetic_moment_mub_per_cell=0.000 raw_formation_energy_mev_per_atom=241.3 pbc="T T T"
Re 0.0000 0.0000 0.0000
Sb 1.5922 1.5922 1.8326
Te 0.0000 0.0000 5.4460
Te 1.5922 1.5922 9.0032